1.
# Bi2Pb3Au

A relaxed Bi2Pb3Au crystal (GGA-PBE, the Alexandria database).

Summary:
**E_form**: 0.3 eV/f.u.
**E_tot**: -0.268 Ry per atom
**V**: 781.9 Å³ per cell
**Density**: 10.504 g/cm3

```
data_Bi2Pb3Au
_symmetry_space_group_name_H-M 'C 1 2/c 1'
_symmetry_Int_Tables_number 15
_symmetry_space_group_name_Hall '-C 2yc'
_cell_length_a 10.5165
_cell_length_b 8.7284
_cell_length_c 9.7745
_cell_angle_alpha 90.00
_cell_angle_beta 119.36
_cell_angle_gamma 90.00
loop_
_atom_site_label
_atom_site_type_symbol
_atom_site_fract_x
_atom_site_fract_y
_atom_site_fract_z
_atom_site_occupancy
Bi1 Bi 0.1942 0.0688 0.1351 1
Pb1 Pb 0.0000 0.1122 0.7500 1
Pb2 Pb 0.0906 0.3130 0.4933 1
Au1 Au 0.0000 0.4466 0.7500 1
```



2.
# Bi3Pb6Au

A relaxed Bi3Pb6Au crystal (GGA-PBE, the Alexandria database).

Summary:
**E_form**: 0.1 eV/f.u.
**E_tot**: -0.273 Ry per atom
**E above lowest polymorph**: 0 meV per atom
**V**: 618.9 Å³ per cell
**Density**: 11.093 g/cm3

```
data_Bi3Pb6Au
_symmetry_space_group_name_H-M 'P 1 21/m 1'
_symmetry_Int_Tables_number 11
_symmetry_space_group_name_Hall '-P 2yb'
_cell_length_a 11.5656
_cell_length_b 4.5652
_cell_length_c 11.7933
_cell_angle_alpha 90.00
_cell_angle_beta 96.35
_cell_angle_gamma 90.00
loop_
_atom_site_label
_atom_site_type_symbol
_atom_site_fract_x
_atom_site_fract_y
_atom_site_fract_z
_atom_site_occupancy
Bi1 Bi 0.0091 0.2500 0.2311 1
Bi2 Bi 0.2302 0.7500 0.1864 1
Bi3 Bi 0.3901 0.2500 0.0600 1
Pb1 Pb 0.1062 0.2500 0.9650 1
Pb2 Pb 0.1166 0.7500 0.4366 1
Pb3 Pb 0.1799 0.2500 0.6528 1
Pb4 Pb 0.3043 0.7500 0.8541 1
Pb5 Pb 0.3757 0.2500 0.4270 1
Pb6 Pb 0.4792 0.2500 0.7363 1
Au1 Au 0.3585 0.7500 0.5918 1
```



3.
# BiPbAu2

A relaxed BiPbAu2 crystal (GGA-PBE, the Alexandria database).

Summary:
**E_form**: 0.0 eV/f.u.
**E_tot**: -0.259 Ry per atom
**V**: 97.3 Å³ per cell
**Density**: 13.826 g/cm3

```
data_BiPbAu2
_symmetry_space_group_name_H-M 'P 4/m m m'
_symmetry_Int_Tables_number 123
_symmetry_space_group_name_Hall '-P 4 2'
_cell_length_a 5.3093
_cell_length_b 5.3093
_cell_length_c 3.4517
_cell_angle_alpha 90.00
_cell_angle_beta 90.00
_cell_angle_gamma 90.00
loop_
_atom_site_label
_atom_site_type_symbol
_atom_site_fract_x
_atom_site_fract_y
_atom_site_fract_z
_atom_site_occupancy
Bi1 Bi 0.0000 0.0000 0.0000 1
Pb1 Pb 0.5000 0.5000 0.0000 1
Au1 Au 0.0000 0.5000 0.5000 1
```



Which of these has the lowest E_form?
BiPbAu2